Record 1
## SrCeBr2 (PBE)

Data for an optimized crystal structure of SrCeBr2.

Unit cell a=10.707 b=10.707 c=10.707 alpha=21.60 beta=21.60 gamma=21.60
Atoms (fractional coordinates):
Sr 0.000 0.000 0.000
Ce 0.500 0.500 0.500
Br 0.102 0.102 0.102
Br 0.898 0.898 0.898

- E_tot: -15.65 eV/f.u.
- Space-group type: R-3m (166)
- Energy relative to the elements, uncorrected: -1.171 eV/atom
- ρ: 4.42 g cm⁻³

Record 2
## ThGa7Fe5 (PBE)

Data for an optimized crystal structure of ThGa7Fe5.

Unit cell a=6.688 b=6.688 c=6.688 alpha=135.52 beta=97.80 gamma=98.67
Atoms (fractional coordinates):
Th 0.000 0.000 0.000
Ga 0.212 0.501 0.711
Ga 0.240 0.740 0.500
Ga 0.354 0.354 0.000
Ga 0.363 0.018 0.345
Ga 0.660 0.660 0.000
Ga 0.672 0.018 0.655
Ga 0.791 0.501 0.289
Fe 0.008 0.005 0.497
Fe 0.008 0.512 0.003
Fe 0.508 0.005 0.997
Fe 0.508 0.512 0.503
Fe 0.771 0.271 0.500

- E_tot: -74.46 eV/f.u.
- Space-group type: Imm2 (44)
- ρ: 8.55 g cm⁻³
- Energy of formation: -272 meV per atom